Entry 1:
Below is a relaxed structure of Be2NiOs, with properties calculated at the PBE-GGA level.

As for the calculated total energy: -6.283 eV per atom. Its energy of formation from the pure elements is -0.167 eV/atom.

a b c (Å): 3.7249 2.5702 8.6109
angles (deg): 90.00 90.00 90.00
Last column: nearest neighbours and their distance in Å.
Space group Amm2 (No. 38)
One atom of each set of equivalent atoms:
1 Be 0.0000 0.0000 0.0000 [2 per cell]  2 Be 2.25, 3 Ni 2.32-2.36, 4 Os 2.39
2 Be 0.5000 0.0000 0.1459 [2 per cell]  2 Be 2.25, 3 Os 2.27-2.41, 4 Ni 2.38
3 Ni 0.0000 0.0000 0.7301 [2 per cell]  7 Be 2.32-2.38, 2 Ni 2.57
4 Os 0.5000 0.0000 0.4096 [2 per cell]  7 Be 2.27-2.41

=====

Entry 2:
Below is a relaxed structure of BeNiOs, with properties calculated at the PBE-GGA level.

The energy relative to the lowest polymorph listed for this composition is 2.347 eV/f.u. As for the calculated total energy: -6.187 eV per atom. Its energy of formation from the pure elements is 0.726 eV/atom.

a b c (Å): 5.5076 5.5076 5.5076
angles (deg): 90.00 90.00 90.00
Last column: nearest neighbours and their distance in Å.
Space group F-43m (No. 216)
One atom of each set of equivalent atoms:
1 Be 0.0000 0.0000 0.0000 [4 per cell]  4 Os 2.38
2 Ni 0.0000 0.0000 0.5000 [4 per cell]  4 Os 2.38
3 Os 0.2500 0.2500 0.2500 [4 per cell]  4 Ni 2.38, 4 Be 2.38

=====

Entry 3:
Below is a relaxed structure of BeNiOs, with properties calculated at the PBE-GGA level.

The energy relative to the lowest polymorph listed for this composition is 1.360 eV/f.u. As for the calculated total energy: -6.516 eV per atom. Its energy of formation from the pure elements is 0.396 eV/atom.

a b c (Å): 5.2392 5.2392 5.2392
angles (deg): 90.00 90.00 90.00
Last column: nearest neighbours and their distance in Å.
Space group F-43m (No. 216)
One atom of each set of equivalent atoms:
1 Be 0.0000 0.0000 0.0000 [4 per cell]  4 Os 2.27, 4 Ni 2.27
2 Ni 0.2500 0.2500 0.2500 [4 per cell]  4 Be 2.27
3 Os 0.2500 0.2500 0.7500 [4 per cell]  4 Be 2.27

=====

Entry 4:
Below is a relaxed structure of Be2NiOs, with properties calculated at the PBE-GGA level.

As for the calculated total energy: -6.205 eV per atom. Its energy of formation from the pure elements is -0.089 eV/atom.

a b c (Å): 2.5310 3.6421 4.6855
angles (deg): 90.00 93.93 90.00
Last column: nearest neighbours and their distance in Å.
Space group P2/m (No. 10)
One atom of each set of equivalent atoms:
1 Be 0.0948 0.0000 0.2328 [2 per cell]  1 Be 2.20, 2 Ni 2.23, 2 Os 2.39
2 Ni 0.0000 0.5000 0.5000 [1 per cell]  4 Be 2.23
3 Os 0.5000 0.5000 0.0000 [1 per cell]  8 Be 2.39-2.56, 2 Os 2.53, 2 Ni 2.59